[1]
! ScCd2Te (SCAN, PBEsol geometry); values from VASP
&SYSTEM
  ibrav = 0, nat = 4, ntyp = 3
/
ATOMIC_SPECIES
Cd 112.41 Cd.upf
Sc 44.96 Sc.upf
Te 127.60 Te.upf
ATOMIC_POSITIONS crystal
Cd 0.000 0.500 0.000
Cd 0.500 0.000 0.000
Sc 0.500 0.500 0.500
Te 0.000 0.000 0.500
CELL_PARAMETERS angstrom
-1.718 2.670 -2.695
-2.832 1.066 2.861
3.129 3.734 1.706
! density of states at the Fermi level	2.09	states/eV/cell
! M_tot	0.00	μB per formula unit
! SG	P4/mmm, No. 123
! raw formation energy	-352	meV per atom
! raw total energy	-113.7	eV per cell

***

[2]
! KAlAg (SCAN, PBEsol geometry); values from VASP
&SYSTEM
  ibrav = 0, nat = 3, ntyp = 3
/
ATOMIC_SPECIES
K 39.10 K.upf
Al 26.98 Al.upf
Ag 107.87 Ag.upf
ATOMIC_POSITIONS crystal
K 0.332 0.332 0.665
Al 0.608 0.608 0.217
Ag 0.059 0.059 0.119
CELL_PARAMETERS angstrom
-1.287 1.571 -2.074
-3.603 0.146 2.346
4.383 4.237 2.522
! density of states at the Fermi level	0.91	states/eV/cell
! energy relative to the lowest polymorph listed for this composition	0.000	eV per atom
! M_tot	0.08	μB per formula unit
! SG	Imm2, No. 44
! formation energy	0.0454	eV per atom
! raw total energy	-47.3	eV per cell

***

Please write out number 2 again, unchanged.
! KAlAg (SCAN, PBEsol geometry); values from VASP
&SYSTEM
  ibrav = 0, nat = 3, ntyp = 3
/
ATOMIC_SPECIES
K 39.10 K.upf
Al 26.98 Al.upf
Ag 107.87 Ag.upf
ATOMIC_POSITIONS crystal
K 0.332 0.332 0.665
Al 0.608 0.608 0.217
Ag 0.059 0.059 0.119
CELL_PARAMETERS angstrom
-1.287 1.571 -2.074
-3.603 0.146 2.346
4.383 4.237 2.522
! density of states at the Fermi level	0.91	states/eV/cell
! energy relative to the lowest polymorph listed for this composition	0.000	eV per atom
! M_tot	0.08	μB per formula unit
! SG	Imm2, No. 44
! formation energy	0.0454	eV per atom
! raw total energy	-47.3	eV per cell

***

Question: Look up the raw total energy of the first one.
Answer: -113.7 eV per cell

***

Question: Which formula does entry 1 have?
Answer: ScCd2Te